VASP calculation (meta-GGA SCAN) on a PBEsol-optimized structure of Sr2ZnAg2.

Properties
Its space group is P4/mbm (127). The value obtained for the volume is 26.5 Å³/atom. The formation energy comes out at -192 meV/atom.

Cell lengths 4.460, 7.715, 7.715 Å; angles 90.00, 90.00, 90.00 degrees
Element x y z (fractional)
Sr (0.500, 0.323, 0.177)
Sr (0.500, 0.677, 0.823)
Sr (0.500, 0.177, 0.677)
Sr (0.500, 0.823, 0.323)
Ag (0.000, 0.127, 0.373)
Ag (0.000, 0.873, 0.627)
Ag (0.000, 0.627, 0.127)
Ag (0.000, 0.373, 0.873)
Zn (0.000, 0.000, 0.000)
Zn (0.000, 0.500, 0.500)